[1]
Here is an optimized crystal structure of ZrU4N5 from Alexandria. Energies are from PBE.

```
10
Lattice="-3.671 0.773 3.019 0.256 -3.177 4.964 0.953 4.331 3.890" Properties=species:S:1:pos:R:3 pbc="T T T"
U -2.163 0.670 8.726
U -0.604 2.506 6.313
U -0.306 1.258 3.154
U -1.866 -0.578 5.567
N -2.177 1.621 4.627
N -1.839 0.387 1.513
N -2.448 2.942 7.799
N -0.022 -1.014 4.081
N -0.293 0.307 7.253
Zr -0.004 0.001 0.003
```

Calculated values
Total energy (eV per atom): -10.938



[2]
Here is an optimized crystal structure of ZrUN2 from Alexandria. Energies are from PBE.

```
8
Lattice="-2.368 2.368 4.730 2.368 -2.368 4.730 2.368 2.368 -4.730" Properties=species:S:1:pos:R:3 pbc="T T T"
U 2.368 0.000 2.365
U 0.000 0.000 4.730
N 0.000 0.000 7.110
N 0.000 2.368 0.015
N 0.000 2.368 4.714
N 0.000 0.000 2.350
Zr 0.000 2.368 2.365
Zr 0.000 0.000 0.000
```

Calculated values
Total energy (eV per atom): -10.660



[3]
Here is an optimized crystal structure of V2N from Alexandria. Energies are from PBE.

```
12
Lattice="4.527 0.000 0.000 0.000 4.895 0.000 0.000 0.000 5.711" Properties=species:S:1:pos:R:3 pbc="T T T"
N 0.000 3.671 0.718
N 0.000 1.224 4.993
N 2.263 3.671 3.574
N 2.263 1.224 2.137
V 1.112 2.046 3.551
V 3.375 2.849 5.015
V 3.415 2.849 2.160
V 1.152 2.046 0.695
V 3.375 0.401 0.695
V 1.112 4.494 2.160
V 1.152 4.494 5.015
V 3.415 0.401 3.551
```

Calculated values
Total energy (eV per atom): -9.830



[4]
Here is an optimized crystal structure of VN4 from Alexandria. Energies are from PBE.

```
5
Lattice="3.838 0.000 0.000 0.000 3.838 0.000 0.000 0.000 3.838" Properties=species:S:1:pos:R:3 pbc="T T T"
V 1.919 1.919 1.919
N 0.000 1.919 1.919
N 1.919 1.919 0.000
N 1.919 0.000 1.919
N 0.000 0.000 0.000
```

Calculated values
Total energy (eV per atom): -6.538



[5]
Here is an optimized crystal structure of V8N from Alexandria. Energies are from PBE.

```
18
Lattice="-6.021 1.539 -6.144 -3.115 -8.101 1.024 -1.877 0.985 2.086" Properties=species:S:1:pos:R:3 pbc="T T T"
V -7.357 -5.633 -1.839
V -7.701 -5.531 -4.316
V -5.050 -4.302 -0.391
V -3.541 -2.543 -1.985
V -3.656 0.056 -1.196
V -2.905 -2.435 0.657
V -1.435 -1.031 -0.804
V -4.380 -6.525 1.261
V -5.595 -4.018 -3.136
V -8.108 -3.141 -3.691
V -6.494 -1.658 -5.059
V -5.963 -1.274 -2.643
V -4.132 0.038 -3.736
V -5.004 -6.600 -1.385
V -2.642 -4.904 -0.061
V -6.633 0.948 -4.296
N 0.000 0.000 0.000
N -5.506 -2.788 -1.517
```

Calculated values
Total energy (eV per atom): -9.365



[6]
Here is an optimized crystal structure of V2N3 from Alexandria. Energies are from PBE.

```
5
Lattice="-1.555 1.875 -1.423 -0.030 -2.718 -0.753 -4.789 -1.023 3.888" Properties=species:S:1:pos:R:3 pbc="T T T"
V -3.883 -1.902 1.739
V -2.492 0.035 -0.026
N -4.277 -0.914 3.472
N -0.512 -0.109 0.416
N -2.394 -0.511 1.944
```

Calculated values
Total energy (eV per atom): -9.411



[7]
Here is an optimized crystal structure of V2N from Alexandria. Energies are from PBE.

```
6
Lattice="-0.930 3.889 1.450 -2.766 -2.809 1.598 3.944 -1.052 1.199" Properties=species:S:1:pos:R:3 pbc="T T T"
V 1.077 0.381 0.645
V -0.928 1.434 1.799
V 1.175 -1.406 2.448
V -0.829 -0.353 3.602
N 0.878 0.723 2.785
N -0.630 -0.695 1.462
```

Calculated values
Total energy (eV per atom): -9.394



[8]
Here is an optimized crystal structure of V3N2 from Alexandria. Energies are from PBE.

```
10
Lattice="-4.074 -2.494 1.097 -0.245 -2.588 4.154 -3.165 2.127 4.029" Properties=species:S:1:pos:R:3 pbc="T T T"
V -4.633 -2.429 3.063
V -3.350 -3.297 5.490
V -4.135 0.342 3.790
V -2.851 -0.526 6.217
V -5.534 -1.383 5.622
V -1.950 -1.572 3.658
N -2.345 0.311 2.946
N -4.562 0.338 5.723
N -2.923 -3.293 3.557
N -5.139 -3.266 6.334
```

Calculated values
Total energy (eV per atom): -9.818